The following is a meta-GGA SCAN calculation of a crystal of Ba2BeGaS relaxed with PBEsol, from the Alexandria database.

* volume: 141 Å³ per cell
* uncorrected energy: -1.627 Ry per atom
* E_form (uncorrected): -0.2501 eV per atom

a b c (Å): 3.8145 6.0765 6.0765
angles (deg): 90.00 90.00 90.00
Last column: nearest neighbours and their distance in Å.
Sites, in units of the cell vectors:
Ba1 0.0000 0.5000 0.0000  2 Be 3.04
S1 0.5000 0.0000 0.0000  2 Be 1.91
Ba2 0.0000 0.0000 0.5000  2 Be 3.04
Be1 0.0000 0.0000 0.0000  2 S 1.91
Ga1 0.5000 0.5000 0.5000  8 Ba 3.59, 2 Ga 3.81